First-principles (PBE-GGA) data for a relaxed InCuNO2 crystal, as listed in the Alexandria database.

Results
- symmetry = P4/mmm, No. 123
- raw total energy (eV/atom) = -4.7277
- total magnetization (Bohr magnetons per cell) = 1.3
- calculated volume (A^3/atom) = 11.710

Geometry as CIF:
```
data_InCuNO2
_symmetry_space_group_name_H-M 'P 1'
_symmetry_Int_Tables_number 1
_cell_length_a 3.963
_cell_length_b 3.963
_cell_length_c 3.728
_cell_angle_alpha 90.00
_cell_angle_beta 90.00
_cell_angle_gamma 90.00
loop_
_symmetry_equiv_pos_as_xyz
'x,y,z'
loop_
_atom_site_label
_atom_site_fract_x
_atom_site_fract_y
_atom_site_fract_z
In1 0.000 0.000 0.000
Cu1 0.500 0.500 0.500
N1 0.500 0.500 0.000
O1 0.000 0.500 0.500
O2 0.500 0.000 0.500
```

=====

First-principles (PBE-GGA) data for a relaxed MnSiAgS2 crystal, as listed in the Alexandria database.

Results
- symmetry = P4/mmm, No. 123
- raw total energy (eV/atom) = -4.0780
- total magnetization (Bohr magnetons per cell) = 4.1
- calculated volume (A^3/atom) = 22.719

Geometry as CIF:
```
data_MnSiAgS2
_symmetry_space_group_name_H-M 'P 1'
_symmetry_Int_Tables_number 1
_cell_length_a 4.814
_cell_length_b 4.814
_cell_length_c 4.903
_cell_angle_alpha 90.00
_cell_angle_beta 90.00
_cell_angle_gamma 90.00
loop_
_symmetry_equiv_pos_as_xyz
'x,y,z'
loop_
_atom_site_label
_atom_site_fract_x
_atom_site_fract_y
_atom_site_fract_z
Mn1 0.000 0.000 0.000
Si1 0.500 0.500 0.000
Ag1 0.000 0.000 0.500
S1 0.000 0.500 0.500
S2 0.500 0.000 0.500
```

=====

First-principles (PBE-GGA) data for a relaxed Ce5Sn3 crystal, as listed in the Alexandria database.

Results
- symmetry = I4/mcm, No. 140
- raw total energy (eV/atom) = -5.7126
- formation energy (kJ/mol of formula units) = -388
- energy above the most stable polymorph in this dataset (meV/atom) = 28
- total magnetization (Bohr magnetons per cell) = 11.9
- calculated volume (A^3/atom) = 28.972

Geometry as CIF:
```
data_Ce5Sn3
_symmetry_space_group_name_H-M 'P 1'
_symmetry_Int_Tables_number 1
_cell_length_a 8.866
_cell_length_b 8.866
_cell_length_c 8.866
_cell_angle_alpha 123.54
_cell_angle_beta 123.54
_cell_angle_gamma 83.96
loop_
_symmetry_equiv_pos_as_xyz
'x,y,z'
loop_
_atom_site_label
_atom_site_fract_x
_atom_site_fract_y
_atom_site_fract_z
Ce1 0.000 0.000 0.000
Ce2 0.013 0.513 0.851
Ce3 0.163 0.013 0.500
Ce4 0.337 0.837 0.851
Ce5 0.487 0.337 0.500
Ce6 0.500 0.500 0.000
Ce7 0.513 0.663 0.500
Ce8 0.663 0.163 0.149
Ce9 0.837 0.987 0.500
Ce10 0.987 0.487 0.149
Sn1 0.127 0.373 0.500
Sn2 0.250 0.250 0.000
Sn3 0.373 0.873 0.246
Sn4 0.627 0.127 0.754
Sn5 0.750 0.750 0.000
Sn6 0.873 0.627 0.500
```

=====

First-principles (PBE-GGA) data for a relaxed Er4TmPu crystal, as listed in the Alexandria database.

Results
- symmetry = C2/m, No. 12
- raw total energy (eV/atom) = -6.1136
- formation energy (kJ/mol of formula units) = 36
- energy above the most stable polymorph in this dataset (meV/atom) = 0
- total magnetization (Bohr magnetons per cell) = 6.0
- calculated volume (A^3/atom) = 29.754

Geometry as CIF:
```
data_Er4TmPu
_symmetry_space_group_name_H-M 'P 1'
_symmetry_Int_Tables_number 1
_cell_length_a 7.776
_cell_length_b 7.776
_cell_length_c 6.969
_cell_angle_alpha 103.01
_cell_angle_beta 103.01
_cell_angle_gamma 25.81
loop_
_symmetry_equiv_pos_as_xyz
'x,y,z'
loop_
_atom_site_label
_atom_site_fract_x
_atom_site_fract_y
_atom_site_fract_z
Er1 0.164 0.164 0.334
Er2 0.166 0.166 0.832
Er3 0.834 0.834 0.168
Er4 0.836 0.836 0.666
Tm1 0.500 0.500 0.000
Pu1 0.500 0.500 0.500
```

=====

First-principles (PBE-GGA) data for a relaxed Rb2YSn2 crystal, as listed in the Alexandria database.

Results
- symmetry = P4/mbm, No. 127
- raw total energy (eV/atom) = -3.3210
- formation energy (kJ/mol of formula units) = -19
- energy above the most stable polymorph in this dataset (meV/atom) = 0
- total magnetization (Bohr magnetons per cell) = 0.0
- calculated volume (A^3/atom) = 41.045

Geometry as CIF:
```
data_Rb2YSn2
_symmetry_space_group_name_H-M 'P 1'
_symmetry_Int_Tables_number 1
_cell_length_a 8.085
_cell_length_b 8.085
_cell_length_c 6.280
_cell_angle_alpha 90.00
_cell_angle_beta 90.00
_cell_angle_gamma 90.00
loop_
_symmetry_equiv_pos_as_xyz
'x,y,z'
loop_
_atom_site_label
_atom_site_fract_x
_atom_site_fract_y
_atom_site_fract_z
Rb1 0.170 0.330 0.000
Rb2 0.330 0.830 0.000
Rb3 0.670 0.170 0.000
Rb4 0.830 0.670 0.000
Y1 0.000 0.000 0.500
Y2 0.500 0.500 0.500
Sn1 0.128 0.628 0.500
Sn2 0.372 0.128 0.500
Sn3 0.628 0.872 0.500
Sn4 0.872 0.372 0.500
```

=====

First-principles (PBE-GGA) data for a relaxed BN crystal, as listed in the Alexandria database.

Results
- symmetry = P2_1/c, No. 14
- raw total energy (eV/atom) = -8.4679
- energy above the most stable polymorph in this dataset (meV/atom) = 320
- total magnetization (Bohr magnetons per cell) = 0.0
- calculated volume (A^3/atom) = 11.730

Geometry as CIF:
```
data_BN
_symmetry_space_group_name_H-M 'P 1'
_symmetry_Int_Tables_number 1
_cell_length_a 4.109
_cell_length_b 4.938
_cell_length_c 4.942
_cell_angle_alpha 90.00
_cell_angle_beta 110.61
_cell_angle_gamma 90.00
loop_
_symmetry_equiv_pos_as_xyz
'x,y,z'
loop_
_atom_site_label
_atom_site_fract_x
_atom_site_fract_y
_atom_site_fract_z
B1 0.000 0.142 0.142
B2 0.000 0.358 0.642
B3 0.000 0.642 0.358
B4 0.000 0.858 0.858
N1 0.001 0.157 0.843
N2 0.001 0.343 0.343
N3 0.999 0.657 0.657
N4 0.999 0.843 0.157
```

=====

First-principles (PBE-GGA) data for a relaxed BaTlBiI6 crystal, as listed in the Alexandria database.

Results
- symmetry = P-31c, No. 163
- raw total energy (eV/atom) = -2.8690
- total magnetization (Bohr magnetons per cell) = 0.0
- calculated volume (A^3/atom) = 51.412

Geometry as CIF:
```
data_BaTlBiI6
_symmetry_space_group_name_H-M 'P 1'
_symmetry_Int_Tables_number 1
_cell_length_a 8.458
_cell_length_b 8.458
_cell_length_c 14.936
_cell_angle_alpha 90.00
_cell_angle_beta 90.00
_cell_angle_gamma 120.00
loop_
_symmetry_equiv_pos_as_xyz
'x,y,z'
loop_
_atom_site_label
_atom_site_fract_x
_atom_site_fract_y
_atom_site_fract_z
Ba1 0.333 0.667 0.250
Ba2 0.667 0.333 0.750
Tl1 0.000 0.000 0.000
Tl2 0.000 0.000 0.500
Bi1 0.333 0.667 0.750
Bi2 0.667 0.333 0.250
I1 0.033 0.370 0.627
I2 0.033 0.663 0.873
I3 0.337 0.370 0.873
I4 0.337 0.967 0.627
I5 0.370 0.033 0.127
I6 0.370 0.337 0.373
I7 0.630 0.663 0.627
I8 0.630 0.967 0.873
I9 0.663 0.033 0.373
I10 0.663 0.630 0.127
I11 0.967 0.337 0.127
I12 0.967 0.630 0.373
```

=====

First-principles (PBE-GGA) data for a relaxed KP2Se crystal, as listed in the Alexandria database.

Results
- symmetry = I-4m2, No. 119
- raw total energy (eV/atom) = -3.3431
- total magnetization (Bohr magnetons per cell) = 0.0
- calculated volume (A^3/atom) = 21.233

Geometry as CIF:
```
data_KP2Se
_symmetry_space_group_name_H-M 'P 1'
_symmetry_Int_Tables_number 1
_cell_length_a 5.162
_cell_length_b 5.162
_cell_length_c 5.162
_cell_angle_alpha 127.03
_cell_angle_beta 127.03
_cell_angle_gamma 78.21
loop_
_symmetry_equiv_pos_as_xyz
'x,y,z'
loop_
_atom_site_label
_atom_site_fract_x
_atom_site_fract_y
_atom_site_fract_z
K1 0.000 0.000 0.000
P1 0.250 0.750 0.500
P2 0.500 0.500 0.000
Se1 0.750 0.250 0.500
```